(1)
DFT (PBE-GGA) results for a relaxed structure of MgPd3Se6.

**Calculated total energy**: -4.18 eV per atom

a = 9.1853 Å, b = 12.2575 Å, c = 3.8810 Å
α = 90.00°, β = 90.00°, γ = 90.00°
Last column: nearest neighbours and their distance in Å.
Space group Cmmm (No. 65)
Asymmetric unit:
Mg 0.0000 0.0000 0.0000 x2  8 Se 2.74-3.02
Pd 0.0000 0.5000 0.0000 x2  4 Se 2.44
Pd 0.2500 0.2500 0.5000 x4  6 Se 2.54-2.56
Se 0.0000 0.1578 0.5000 x4  2 Pd 2.56, 2 Mg 2.74
Se 0.2123 0.3801 0.0000 x8  3 Pd 2.44-2.54

---

(2)
DFT (PBE-GGA) results for a relaxed structure of Sc2Cu2Ni.

**Calculated formation energy**: -0.02 eV/atom
**Size of the total moment**: 0.00 μB/atom

a = 3.3903 Å, b = 3.3903 Å, c = 13.6364 Å
α = 90.00°, β = 90.00°, γ = 90.00°
Last column: nearest neighbours and their distance in Å.
Space group I4/mmm (No. 139)
Asymmetric unit:
Sc 0.0000 0.0000 0.0982 x4  4 Cu 2.68, 1 Sc 2.68, 4 Ni 2.75
Cu 0.0000 0.5000 0.2500 x4  4 Cu 2.40, 4 Sc 2.68
Ni 0.0000 0.0000 0.5000 x2  8 Sc 2.75

---

(3)
DFT (PBE-GGA) results for a relaxed structure of PrPtNO.

**Energy above the most stable polymorph in this dataset**: 574 meV per atom
**Size of the total moment**: 0.00 μB/atom

a = 5.0650 Å, b = 5.0650 Å, c = 4.5874 Å
α = 90.00°, β = 90.00°, γ = 90.00°
Last column: nearest neighbours and their distance in Å.
Space group P4/nmm (No. 129, origin choice 2)
Asymmetric unit:
Pr 0.2500 0.7500 0.0000 x2  2 O 2.29, 4 N 2.53
Pt 0.2500 0.2500 0.4979 x2  2 N 2.29-2.30, 4 O 2.53
N 0.2500 0.2500 0.9994 x2  2 Pt 2.29-2.30, 4 Pr 2.53
O 0.2500 0.7500 0.5000 x2  2 Pr 2.29, 4 Pt 2.53

---

(4)
DFT (PBE-GGA) results for a relaxed structure of PrIn5CuPd.

**Calculated total energy**: -3.72 eV per atom
**Size of the total moment**: 0.00 μB/atom

a = 4.3155 Å, b = 8.0026 Å, c = 10.6648 Å
α = 90.00°, β = 90.00°, γ = 90.00°
Last column: nearest neighbours and their distance in Å.
Space group Imm2 (No. 44)
Asymmetric unit:
Pr 0.0000 0.0000 0.0000 x2  2 Cu 3.34, 2 Pd 3.48, 8 In 3.60-3.64
In 0.0000 0.1952 0.6531 x4  1 Pd 2.67, 2 Cu 2.90
In 0.0000 0.1977 0.3529 x4  1 Cu 2.61, 2 Pd 2.87
In 0.0000 0.5000 0.0098 x2  1 Cu 2.68, 1 Pd 2.71
Cu 0.0000 0.5000 0.2610 x2  7 In 2.61-2.90
Pd 0.0000 0.5000 0.7557 x2  7 In 2.67-2.87